Material: NdTl2Cl5
Method: DFT, PBE
State: optimized geometry

abc: 13.1845 8.8415 8.2802
angles: 90.00 90.00 90.00
Fractional coordinates of all 32 atoms:
Nd1 0.0049 0.2500 0.0739
Nd2 0.4951 0.7500 0.5739
Nd3 0.5049 0.2500 0.4261
Nd4 0.9951 0.7500 0.9261
Tl1 0.1727 0.0035 0.5493
Tl2 0.1727 0.4965 0.5493
Tl3 0.3273 0.5035 0.0493
Tl4 0.3273 0.9965 0.0493
Tl5 0.6727 0.0035 0.9507
Tl6 0.6727 0.4965 0.9507
Tl7 0.8273 0.5035 0.4507
Tl8 0.8273 0.9965 0.4507
Cl1 0.0096 0.2500 0.4128
Cl2 0.0739 0.5432 0.1614
Cl3 0.0739 0.9568 0.1614
Cl4 0.1785 0.2500 0.8827
Cl5 0.2002 0.7500 0.8417
Cl6 0.2998 0.2500 0.3417
Cl7 0.3215 0.7500 0.3827
Cl8 0.4261 0.0432 0.6614
Cl9 0.4261 0.4568 0.6614
Cl10 0.4904 0.7500 0.9128
Cl11 0.5096 0.2500 0.0872
Cl12 0.5739 0.5432 0.3386
Cl13 0.5739 0.9568 0.3386
Cl14 0.6785 0.2500 0.6173
Cl15 0.7002 0.7500 0.6583
Cl16 0.7998 0.2500 0.1583
Cl17 0.8215 0.7500 0.1173
Cl18 0.9261 0.0432 0.8386
Cl19 0.9261 0.4568 0.8386
Cl20 0.9904 0.7500 0.5872

Summary:
calculated volume	30.16	Å³/atom
final energy	-128.97	eV/cell
formation energy without anion corrections	-13.5	eV/f.u.
size of the total moment	0.000	μB per cell



Material: Nd6TlCl8
Method: DFT, PBE
State: optimized geometry

abc: 11.4087 11.4087 11.4087
angles: 35.70 35.70 35.70
Fractional coordinates of all 15 atoms:
Nd1 0.0933 0.4439 0.7934
Nd2 0.2066 0.9067 0.5561
Nd3 0.4439 0.7934 0.0933
Nd4 0.5561 0.2066 0.9067
Nd5 0.7934 0.0933 0.4439
Nd6 0.9067 0.5561 0.2066
Tl1 0.5000 0.5000 0.5000
Cl1 0.0743 0.7062 0.3896
Cl2 0.1666 0.1666 0.1666
Cl3 0.2938 0.6104 0.9257
Cl4 0.3896 0.0743 0.7062
Cl5 0.6104 0.9257 0.2938
Cl6 0.7062 0.3896 0.0743
Cl7 0.8334 0.8334 0.8334
Cl8 0.9257 0.2938 0.6104

Summary:
calculated volume	30.13	Å³/atom
final energy	-69.68	eV/cell
formation energy without anion corrections	-23.9	eV/f.u.
size of the total moment	0.000	μB per cell



Material: NdTmCl
Method: DFT, PBE
State: optimized geometry

abc: 3.6801 3.6801 7.1758
angles: 90.00 90.00 120.00
Fractional coordinates of all 3 atoms:
Nd1 0.0000 0.0000 0.0000
Tm1 0.6667 0.3333 0.3793
Cl1 0.3333 0.6667 0.6673

Summary:
calculated volume	28.05	Å³/atom
final energy	-13.78	eV/cell
formation energy without anion corrections	-2.7	eV/f.u.
size of the total moment	0.380	μB per cell



Material: NdTm2Cl
Method: DFT, PBE
State: optimized geometry

abc: 11.2922 11.2922 11.2922
angles: 17.44 17.44 17.44
Fractional coordinates of all 4 atoms:
Nd1 0.0000 0.0000 0.0000
Tm1 0.1008 0.1008 0.1008
Tm2 0.8992 0.8992 0.8992
Cl1 0.5000 0.5000 0.5000

Summary:
calculated volume	28.21	Å³/atom
final energy	-16.95	eV/cell
formation energy without anion corrections	-1.4	eV/f.u.
size of the total moment	0.000	μB per cell



calculated volume of number 2 (Nd6TlCl8)?
30.13 Å³/atom



Copy entry 3 word for word.
Material: NdTmCl
Method: DFT, PBE
State: optimized geometry

abc: 3.6801 3.6801 7.1758
angles: 90.00 90.00 120.00
Fractional coordinates of all 3 atoms:
Nd1 0.0000 0.0000 0.0000
Tm1 0.6667 0.3333 0.3793
Cl1 0.3333 0.6667 0.6673

Summary:
calculated volume	28.05	Å³/atom
final energy	-13.78	eV/cell
formation energy without anion corrections	-2.7	eV/f.u.
size of the total moment	0.380	μB per cell